[1]
# ErGa5Co GGA-PBE relaxed
# VASP energy ... -4.29 eV/atom
data_ErGa5Co
_cell_length_a 4.2047
_cell_length_b 4.2047
_cell_length_c 6.7982
_cell_angle_alpha 90.00
_cell_angle_beta 90.00
_cell_angle_gamma 90.00
_symmetry_space_group_name_H-M 'P 4/m m m'
_symmetry_Int_Tables_number 123
_symmetry_space_group_name_Hall '-P 4 2'
loop_
_atom_site_label
_atom_site_type_symbol
_atom_site_fract_x
_atom_site_fract_y
_atom_site_fract_z
_atom_site_occupancy
Er1 Er 0.0000 0.0000 0.0000 1
Ga1 Ga 0.0000 0.5000 0.3092 1
Ga2 Ga 0.5000 0.5000 0.0000 1
Co1 Co 0.0000 0.0000 0.5000 1

---

[2]
# Er4Ga16Co3 GGA-PBE relaxed
# VASP energy ... -4.33 eV/atom
data_Er4Ga16Co3
_cell_length_a 6.0005
_cell_length_b 6.0005
_cell_length_c 11.0673
_cell_angle_alpha 90.00
_cell_angle_beta 90.00
_cell_angle_gamma 90.00
_symmetry_space_group_name_H-M 'P 4/m m m'
_symmetry_Int_Tables_number 123
_symmetry_space_group_name_Hall '-P 4 2'
loop_
_atom_site_label
_atom_site_type_symbol
_atom_site_fract_x
_atom_site_fract_y
_atom_site_fract_z
_atom_site_occupancy
Er1 Er 0.0000 0.5000 0.1951 1
Ga1 Ga 0.0000 0.0000 0.1950 1
Ga2 Ga 0.2200 0.2200 0.0000 1
Ga3 Ga 0.2504 0.2504 0.3840 1
Ga4 Ga 0.5000 0.5000 0.2180 1
Co1 Co 0.0000 0.5000 0.5000 1
Co2 Co 0.5000 0.5000 0.0000 1

---

[3]
# ErGaCo4 GGA-PBE relaxed
# VASP energy ... -6.21 eV/atom
data_ErGaCo4
_cell_length_a 6.8932
_cell_length_b 6.8932
_cell_length_c 6.8932
_cell_angle_alpha 90.00
_cell_angle_beta 90.00
_cell_angle_gamma 90.00
_symmetry_space_group_name_H-M 'F -4 3 m'
_symmetry_Int_Tables_number 216
_symmetry_space_group_name_Hall 'F -4 2 3'
loop_
_atom_site_label
_atom_site_type_symbol
_atom_site_fract_x
_atom_site_fract_y
_atom_site_fract_z
_atom_site_occupancy
Er1 Er 0.0000 0.0000 0.0000 1
Ga1 Ga 0.2500 0.2500 0.2500 1
Co1 Co 0.1240 0.1240 0.6240 1

---

[4]
# Er2GaCo2 GGA-PBE relaxed
# VASP energy ... -5.63 eV/atom
data_Er2GaCo2
_cell_length_a 6.7217
_cell_length_b 6.7217
_cell_length_c 3.9886
_cell_angle_alpha 90.00
_cell_angle_beta 90.00
_cell_angle_gamma 90.00
_symmetry_space_group_name_H-M 'P 4/m b m'
_symmetry_Int_Tables_number 127
_symmetry_space_group_name_Hall '-P 4 2ab'
loop_
_atom_site_label
_atom_site_type_symbol
_atom_site_fract_x
_atom_site_fract_y
_atom_site_fract_z
_atom_site_occupancy
Er1 Er 0.1814 0.3186 0.0000 1
Ga1 Ga 0.0000 0.0000 0.5000 1
Co1 Co 0.1185 0.6185 0.5000 1

---

[5]
# Er4Ga3Co GGA-PBE relaxed
# VASP energy ... -4.81 eV/atom
data_Er4Ga3Co
_cell_length_a 3.8500
_cell_length_b 4.2612
_cell_length_c 10.7722
_cell_angle_alpha 90.00
_cell_angle_beta 90.00
_cell_angle_gamma 90.00
_symmetry_space_group_name_H-M 'P m m 2'
_symmetry_Int_Tables_number 25
loop_
_symmetry_equiv_pos_as_xyz
'x,y,z'
'-x,-y,z'
'-x,y,z'
'x,-y,z'
loop_
_atom_site_label
_atom_site_type_symbol
_atom_site_fract_x
_atom_site_fract_y
_atom_site_fract_z
_atom_site_occupancy
Er1 Er 0.0000 0.0000 0.0000 1
Er2 Er 0.0000 0.5000 0.2660 1
Er3 Er 0.5000 0.0000 0.4634 1
Er4 Er 0.5000 0.5000 0.7791 1
Ga1 Ga 0.0000 0.0000 0.7020 1
Ga2 Ga 0.0000 0.5000 0.5515 1
Ga3 Ga 0.5000 0.5000 0.0598 1
Co1 Co 0.5000 0.0000 0.1910 1

---

[6]
# Er8GaCo2 GGA-PBE relaxed
# VASP energy ... -5.03 eV/atom
data_Er8GaCo2
_cell_length_a 8.4673
_cell_length_b 12.8251
_cell_length_c 5.2763
_cell_angle_alpha 90.00
_cell_angle_beta 104.28
_cell_angle_gamma 90.00
_symmetry_space_group_name_H-M 'C 1 2/m 1'
_symmetry_Int_Tables_number 12
loop_
_symmetry_equiv_pos_as_xyz
'x,y,z'
'-x,-y,-z'
'-x,y,-z'
'x,-y,z'
'x+1/2,y+1/2,z'
'-x+1/2,-y+1/2,-z'
'-x+1/2,y+1/2,-z'
'x+1/2,-y+1/2,z'
loop_
_atom_site_label
_atom_site_type_symbol
_atom_site_fract_x
_atom_site_fract_y
_atom_site_fract_z
_atom_site_occupancy
Er1 Er 0.0000 0.2429 0.0000 1
Er2 Er 0.1193 0.5000 0.8052 1
Er3 Er 0.1996 0.1309 0.5789 1
Ga1 Ga 0.0000 0.0000 0.0000 1
Co1 Co 0.0000 0.3076 0.5000 1

---

[7]
# Er3Ga4Co2 GGA-PBE relaxed
# VASP energy ... -4.99 eV/atom
data_Er3Ga4Co2
_cell_length_a 10.4289
_cell_length_b 4.2340
_cell_length_c 8.0509
_cell_angle_alpha 90.00
_cell_angle_beta 106.82
_cell_angle_gamma 90.00
_symmetry_space_group_name_H-M 'C 1 2/m 1'
_symmetry_Int_Tables_number 12
loop_
_symmetry_equiv_pos_as_xyz
'x,y,z'
'-x,-y,-z'
'-x,y,-z'
'x,-y,z'
'x+1/2,y+1/2,z'
'-x+1/2,-y+1/2,-z'
'-x+1/2,y+1/2,-z'
'x+1/2,-y+1/2,z'
loop_
_atom_site_label
_atom_site_type_symbol
_atom_site_fract_x
_atom_site_fract_y
_atom_site_fract_z
_atom_site_occupancy
Er1 Er 0.0000 0.0000 0.0000 1
Er2 Er 0.1264 0.5000 0.6881 1
Ga1 Ga 0.0985 0.0000 0.4053 1
Ga2 Ga 0.2184 0.5000 0.0797 1
Co1 Co 0.1850 0.5000 0.3630 1

---

[8]
# Er2Ga8Co GGA-PBE relaxed
# VASP energy ... -4.16 eV/atom
data_Er2Ga8Co
_cell_length_a 4.2178
_cell_length_b 4.2178
_cell_length_c 11.0606
_cell_angle_alpha 90.00
_cell_angle_beta 90.00
_cell_angle_gamma 90.00
_symmetry_space_group_name_H-M 'P 4/m m m'
_symmetry_Int_Tables_number 123
_symmetry_space_group_name_Hall '-P 4 2'
loop_
_atom_site_label
_atom_site_type_symbol
_atom_site_fract_x
_atom_site_fract_y
_atom_site_fract_z
_atom_site_occupancy
Er1 Er 0.0000 0.0000 0.1945 1
Ga1 Ga 0.0000 0.5000 0.0000 1
Ga2 Ga 0.0000 0.5000 0.3837 1
Ga3 Ga 0.5000 0.5000 0.1938 1
Co1 Co 0.0000 0.0000 0.5000 1

---

[9]
# Er3Ga2Co GGA-PBE relaxed
# VASP energy ... -4.97 eV/atom
data_Er3Ga2Co
_cell_length_a 11.5890
_cell_length_b 4.1754
_cell_length_c 10.9564
_cell_angle_alpha 90.00
_cell_angle_beta 90.00
_cell_angle_gamma 90.00
_symmetry_space_group_name_H-M 'P n m a'
_symmetry_Int_Tables_number 62
loop_
_symmetry_equiv_pos_as_xyz
'x,y,z'
'-x,-y,-z'
'-x+1/2,-y,z+1/2'
'x+1/2,y,-z+1/2'
'x+1/2,-y+1/2,-z+1/2'
'-x+1/2,y+1/2,z+1/2'
'-x,y+1/2,-z'
'x,-y+1/2,z'
loop_
_atom_site_label
_atom_site_type_symbol
_atom_site_fract_x
_atom_site_fract_y
_atom_site_fract_z
_atom_site_occupancy
Er1 Er 0.0498 0.2500 0.1275 1
Er2 Er 0.1168 0.7500 0.5589 1
Er3 Er 0.2306 0.2500 0.7997 1
Ga1 Ga 0.0144 0.7500 0.3101 1
Ga2 Ga 0.1954 0.7500 0.0005 1
Co1 Co 0.1232 0.2500 0.3773 1

---

[10]
# Er6Ga2Co GGA-PBE relaxed
# VASP energy ... -4.79 eV/atom
data_Er6Ga2Co
_cell_length_a 5.9161
_cell_length_b 8.2040
_cell_length_c 10.8255
_cell_angle_alpha 90.00
_cell_angle_beta 119.94
_cell_angle_gamma 90.00
_symmetry_space_group_name_H-M 'P 1 21/c 1'
_symmetry_Int_Tables_number 14
loop_
_symmetry_equiv_pos_as_xyz
'x,y,z'
'-x,-y,-z'
'-x,y+1/2,-z+1/2'
'x,-y+1/2,z+1/2'
loop_
_atom_site_label
_atom_site_type_symbol
_atom_site_fract_x
_atom_site_fract_y
_atom_site_fract_z
_atom_site_occupancy
Er1 Er 0.0620 0.1824 0.4455 1
Er2 Er 0.3271 0.6727 0.4424 1
Er3 Er 0.3662 0.0301 0.2581 1
Ga1 Ga 0.1742 0.1234 0.7536 1
Co1 Co 0.0000 0.0000 0.0000 1

---

[11]
# Er3GaCo GGA-PBE relaxed
# VASP energy ... -5.00 eV/atom
data_Er3GaCo
_cell_length_a 6.7058
_cell_length_b 4.9327
_cell_length_c 7.2625
_cell_angle_alpha 90.00
_cell_angle_beta 93.74
_cell_angle_gamma 90.00
_symmetry_space_group_name_H-M 'P 1 m 1'
_symmetry_Int_Tables_number 6
loop_
_symmetry_equiv_pos_as_xyz
'x,y,z'
'x,-y,z'
loop_
_atom_site_label
_atom_site_type_symbol
_atom_site_fract_x
_atom_site_fract_y
_atom_site_fract_z
_atom_site_occupancy
Er1 Er 0.0000 0.0000 0.0000 1
Er2 Er 0.0629 0.5000 0.3389 1
Er3 Er 0.3134 0.0000 0.6369 1
Er4 Er 0.4496 0.0000 0.1810 1
Er5 Er 0.6077 0.5000 0.8736 1
Er6 Er 0.8015 0.0000 0.5585 1
Ga1 Ga 0.0705 0.5000 0.7516 1
Ga2 Ga 0.5305 0.5000 0.4042 1
Co1 Co 0.2601 0.5000 0.0541 1
Co2 Co 0.6324 0.0000 0.8674 1

---

[12]
# Er2Ga3Co GGA-PBE relaxed
# VASP energy ... -4.78 eV/atom
data_Er2Ga3Co
_cell_length_a 10.2192
_cell_length_b 4.2351
_cell_length_c 6.9878
_cell_angle_alpha 90.00
_cell_angle_beta 131.64
_cell_angle_gamma 90.00
_symmetry_space_group_name_H-M 'C 1 m 1'
_symmetry_Int_Tables_number 8
loop_
_symmetry_equiv_pos_as_xyz
'x,y,z'
'x,-y,z'
'x+1/2,y+1/2,z'
'x+1/2,-y+1/2,z'
loop_
_atom_site_label
_atom_site_type_symbol
_atom_site_fract_x
_atom_site_fract_y
_atom_site_fract_z
_atom_site_occupancy
Er1 Er 0.0000 0.0000 0.0000 1
Er2 Er 0.0977 0.0000 0.6017 1
Ga1 Ga 0.2159 0.5000 0.3868 1
Ga2 Ga 0.3716 0.0000 0.1757 1
Ga3 Ga 0.4020 0.0000 0.6167 1
Co1 Co 0.2108 0.5000 0.0004 1